Computed, not measured: a geometry-optimized YSc2SbN structure at the PBE level of DFT.

Properties
- raw formation energy (meV/atom) = -1097.1
- energy (eV per atom) = -7.41
- space group = P4/mmm, No. 123

Cell lengths 4.447, 4.447, 4.891 Å; angles 90.00, 90.00, 90.00 degrees
Atoms (fractional coordinates):
1 Sc 0.000 0.500 0.000
2 Sc 0.500 0.000 0.000
3 N 0.000 0.000 0.000
4 Sb 0.500 0.500 0.500
5 Y 0.000 0.000 0.500